Computed, not measured: BaCuTe2 after structural relaxation at the PBEsol level of DFT.

Cell: 4.403 4.403 7.545 Å, 73.04 73.04 60.00°
Sites, in units of the cell vectors:
Ba 0.500 0.500 0.500
Te 0.727 0.727 0.818
Te 0.273 0.273 0.182
Cu 0.000 0.000 0.000

- formation energy without anion corrections (meV/atom) = -540
- size of the total moment (μB per cell) = 0.00
- raw total energy (eV/f.u.) = -15.7